# 1
First-principles (GGA-PBE) data for a relaxed structure of Rb2USO3, as listed in Alexandria.

The structure in POSCAR format:
```
Rb2USO3
1.0
5.450 0.000 0.000
0.000 4.336 0.000
-2.725 -2.168 7.095
O U Rb S
3 1 2 1
direct
0.000 0.500 0.000
0.135 0.135 0.269
0.865 0.865 0.731
0.000 0.000 0.000
0.662 0.662 0.325
0.338 0.338 0.675
0.500 0.000 0.000
```

## Properties
The calculation puts the formation energy (no corrections) at -2.303 eV per atom. The calculation puts the total energy at -6.91 eV per atom. As for the symmetry: Immm.



# 2
First-principles (GGA-PBE) data for a relaxed structure of LaPrDy2Se6, as listed in Alexandria.

The structure in POSCAR format:
```
LaPrDy2Se6
1.0
7.415 0.000 0.000
3.708 6.422 0.000
3.708 2.141 6.509
Se La Pr Dy
6 1 1 2
direct
0.229 0.896 0.245
0.390 0.731 0.744
0.630 0.229 0.245
0.136 0.390 0.744
0.896 0.630 0.245
0.731 0.136 0.744
0.810 0.810 0.570
0.312 0.312 0.065
0.515 0.514 0.457
0.014 0.014 0.959
```

## Properties
The calculation puts the formation energy (no corrections) at -1.881 eV per atom. The calculation puts the total energy at -5.86 eV per atom. As for the symmetry: R3.